#one
GaSbTe2Pd | PBE-GGA | relaxed

The structure belongs to space group P4/mmm (No. 123); the cell edges are 5.356, 5.356 and 5.166 Å and the angles 90.00°, 90.00° and 90.00°. Symmetry generates all atoms from Ga at (0.000, 0.000, 0.000), Sb at (0.000, 0.000, 0.500), Te at (0.000, 0.500, 0.000) and Pd at (0.500, 0.500, 0.500).

As for the magnetization: 0.00 μB per formula unit.

---

#two
GaSbTe2Pd | PBE-GGA | relaxed

The structure belongs to space group P4/mmm (No. 123); the cell edges are 5.511, 5.511 and 5.061 Å and the angles 90.00°, 90.00° and 90.00°. Symmetry generates all atoms from Ga at (0.000, 0.000, 0.000), Sb at (0.500, 0.500, 0.000), Te at (0.000, 0.500, 0.500) and Pd at (0.500, 0.500, 0.500).

As for the magnetization: 0.00 μB per formula unit.

---

Relative energies, eV/atom: #one 0.462; #two 0.000.

---

#one
ScGaPd6 | PBE-GGA | relaxed

The structure belongs to space group Cmmm (No. 65); the cell edges are 7.883, 7.988 and 3.962 Å and the angles 90.00°, 90.00° and 90.00°. Symmetry generates all atoms from Sc at (0.000, 0.000, 0.000), Ga at (0.000, 0.500, 0.000), Pd at (0.000, 0.250, 0.500), Pd at (0.242, 0.500, 0.500) and Pd at (0.250, 0.250, 0.000).

As for the magnetization: 0.00 μB per formula unit.

---

#two
ScGaPd6 | PBE-GGA | relaxed

The structure belongs to space group R-3m (No. 166, hexagonal axes); the cell edges are 7.4200, 7.4200 and 9.2309 Å and the angles 90.00°, 90.00° and 120.00°. Symmetry generates all atoms from Sc at (0.0000, 0.0000, 0.0000), Ga at (0.0000, 0.0000, 0.5000) and Pd at (0.0818, 0.5409, 0.3680).

As for the magnetization: 0.00 μB per formula unit.

---

Relative energies, eV/atom: #one 0.000; #two 0.457.

---

#one
ScGa4Pd2 | PBE-GGA | relaxed

The structure belongs to space group Pnma (No. 62); the cell edges are 17.009, 4.237 and 6.625 Å and the angles 90.00°, 90.00° and 90.00°. Symmetry generates all atoms from Sc at (0.143, 0.250, 0.010), Ga at (0.039, 0.750, 0.854), Ga at (0.067, 0.250, 0.478), Ga at (0.186, 0.750, 0.310), Ga at (0.189, 0.750, 0.729), Pd at (0.037, 0.750, 0.243) and Pd at (0.215, 0.250, 0.523).

As for the magnetization: 0.00 μB per formula unit.

---

#two
ScGa4Pd2 | PBE-GGA | relaxed

The structure belongs to space group P4_2/mnm (No. 136); the cell edges are 8.654, 8.654 and 3.272 Å and the angles 90.00°, 90.00° and 90.00°. Symmetry generates all atoms from Sc at (0.000, 0.000, 0.000), Ga at (0.067, 0.306, 0.500) and Pd at (0.201, 0.799, 0.500).

As for the magnetization: 0.00 μB per formula unit.

---

Relative energies, eV/atom: #one 0.000; #two 0.080.

---

#one
ScGaPd3 | PBE-GGA | relaxed

The structure belongs to space group Pmmn (No. 59, origin choice 2); the cell edges are 4.441, 5.594 and 6.892 Å and the angles 90.00°, 90.00° and 90.00°. Symmetry generates all atoms from Sc at (0.250, 0.250, 0.157), Ga at (0.250, 0.750, 0.433), Pd at (0.250, 0.011, 0.725) and Pd at (0.250, 0.750, 0.077).

As for the magnetization: 0.00 μB per formula unit.

---

#two
ScGaPd3 | PBE-GGA | relaxed

The structure belongs to space group Pm-3m (No. 221); the cell edges are 4.616, 4.616 and 4.616 Å and the angles 90.00°, 90.00° and 90.00°. Symmetry generates all atoms from Sc at (0.000, 0.000, 0.000), Ga at (0.500, 0.500, 0.500) and Pd at (0.000, 0.500, 0.500).

As for the magnetization: 0.00 μB per formula unit.

---

Relative energies, eV/atom: #one 0.000; #two 0.540.

---

#one
ScGaPd3 | PBE-GGA | relaxed

The structure belongs to space group Cmcm (No. 63); the cell edges are 4.585, 15.363 and 4.568 Å and the angles 90.00°, 90.00° and 90.00°. Symmetry generates all atoms from Sc at (0.000, 0.149, 0.250), Ga at (0.000, 0.358, 0.250), Pd at (0.000, 0.058, 0.750), Pd at (0.000, 0.251, 0.750) and Pd at (0.000, 0.444, 0.750).

As for the magnetization: 0.00 μB per formula unit.

---

#two
ScGaPd3 | PBE-GGA | relaxed

The structure belongs to space group Pm-3m (No. 221); the cell edges are 4.795, 4.795 and 4.795 Å and the angles 90.00°, 90.00° and 90.00°. Symmetry generates all atoms from Sc at (0.000, 0.000, 0.000), Ga at (0.500, 0.500, 0.500) and Pd at (0.000, 0.000, 0.500).

As for the magnetization: 0.00 μB per formula unit.

---

Relative energies, eV/atom: #one 0.000; #two 1.125.

---

#one
ScGa3Pd3 | PBE-GGA | relaxed

The structure belongs to space group R-3 (No. 148, hexagonal axes); the cell edges are 6.8265, 6.8265 and 17.6022 Å and the angles 90.00°, 90.00° and 120.00°. Symmetry generates all atoms from Sc at (0.0000, 0.0000, 0.1613), Ga at (0.0220, 0.6092, 0.3795) and Pd at (0.0094, 0.7560, 0.5657).

As for the magnetization: 0.00 μB per formula unit.

---

#two
ScGa3Pd3 | PBE-GGA | relaxed

The structure belongs to space group Pm-3n (No. 223); the cell edges are 6.765, 6.765 and 6.765 Å and the angles 90.00°, 90.00° and 90.00°. Symmetry generates all atoms from Sc at (0.000, 0.000, 0.000), Ga at (0.000, 0.250, 0.500) and Pd at (0.000, 0.500, 0.250).

As for the magnetization: 0.00 μB per formula unit.

---

Relative energies, eV/atom: #one 0.000; #two 0.562.

---

#one
Sc4Ga2Pd | PBE-GGA | relaxed

The structure belongs to space group R-3m (No. 166, hexagonal axes); the cell edges are 4.5144, 4.5144 and 26.2732 Å and the angles 90.00°, 90.00° and 120.00°. Symmetry generates all atoms from Sc at (0.0000, 0.0000, 0.1210), Sc at (0.0000, 0.0000, 0.2974), Ga at (0.0000, 0.0000, 0.4037) and Pd at (0.0000, 0.0000, 0.5000).

As for the magnetization: 0.00 μB per formula unit.

---

#two
Sc4Ga2Pd | PBE-GGA | relaxed

The structure belongs to space group I4/mmm (No. 139); the cell edges are 6.561, 6.561 and 6.764 Å and the angles 90.00°, 90.00° and 90.00°. Symmetry generates all atoms from Sc at (0.250, 0.250, 0.250), Ga at (0.000, 0.500, 0.000) and Pd at (0.000, 0.000, 0.000).

As for the magnetization: 0.00 μB per formula unit.

---

Relative energies, eV/atom: #one 0.112; #two 0.000.

---

#one
ScGaPd5 | PBE-GGA | relaxed

The structure belongs to space group P4/mmm (No. 123); the cell edges are 4.050, 4.050 and 7.017 Å and the angles 90.00°, 90.00° and 90.00°. Symmetry generates all atoms from Sc at (0.000, 0.000, 0.000), Ga at (0.500, 0.500, 0.500), Pd at (0.000, 0.500, 0.283) and Pd at (0.500, 0.500, 0.000).

As for the magnetization: 0.00 μB per formula unit.

---

#two
ScGaPd5 | PBE-GGA | relaxed

The structure belongs to space group C2/c (No. 15); the cell edges are 8.108, 9.707 and 7.029 Å and the angles 90.00°, 122.08° and 90.00°. Symmetry generates all atoms from Sc at (0.000, 0.188, 0.250), Ga at (0.250, 0.250, 0.000), Pd at (0.000, 0.077, 0.750), Pd at (0.076, 0.351, 0.607) and Pd at (0.219, 0.418, 0.346).

As for the magnetization: 0.00 μB per formula unit.

---

Relative energies, eV/atom: #one 0.000; #two 0.183.

---

#one
Sc3GaPd | PBE-GGA | relaxed

The structure belongs to space group Cmcm (No. 63); the cell edges are 4.602, 18.896 and 4.598 Å and the angles 90.00°, 90.00° and 90.00°. Symmetry generates all atoms from Sc at (0.000, 0.063, 0.250), Sc at (0.000, 0.250, 0.250), Sc at (0.000, 0.434, 0.250), Ga at (0.000, 0.157, 0.750) and Pd at (0.000, 0.338, 0.750).

As for the magnetization: 0.31 μB per formula unit.

---

#two
Sc3GaPd | PBE-GGA | relaxed

The structure belongs to space group Pm-3m (No. 221); the cell edges are 5.022, 5.022 and 5.022 Å and the angles 90.00°, 90.00° and 90.00°. Symmetry generates all atoms from Sc at (0.000, 0.000, 0.500), Ga at (0.500, 0.500, 0.500) and Pd at (0.000, 0.000, 0.000).

As for the magnetization: 0.00 μB per formula unit.

---

Relative energies, eV/atom: #one 0.000; #two 0.513.

---

#one
Sc6Ga2Pd | PBE-GGA | relaxed

The structure belongs to space group Immm (No. 71); the cell edges are 4.583, 6.578 and 13.915 Å and the angles 90.00°, 90.00° and 90.00°. Symmetry generates all atoms from Sc at (0.000, 0.244, 0.000), Sc at (0.000, 0.255, 0.336), Ga at (0.000, 0.500, 0.168) and Pd at (0.000, 0.500, 0.500).

As for the magnetization: 0.00 μB per formula unit.

---

#two
Sc6Ga2Pd | PBE-GGA | relaxed

The structure belongs to space group Immm (No. 71); the cell edges are 8.822, 9.073 and 9.476 Å and the angles 90.00°, 90.00° and 90.00°. Symmetry generates all atoms from Sc at (0.000, 0.212, 0.173), Sc at (0.180, 0.230, 0.500), Sc at (0.192, 0.500, 0.242), Ga at (0.000, 0.000, 0.370), Ga at (0.154, 0.000, 0.000), Pd at (0.000, 0.500, 0.000) and Pd at (0.000, 0.500, 0.500).

As for the magnetization: 0.00 μB per formula unit.

---

Relative energies, eV/atom: #one 0.167; #two 0.000.

---

#one
ScZnGaPd2 | PBE-GGA | relaxed

The structure belongs to space group P4/mmm (No. 123); the cell edges are 4.686, 4.686 and 4.456 Å and the angles 90.00°, 90.00° and 90.00°. Symmetry generates all atoms from Sc at (0.000, 0.000, 0.000), Zn at (0.500, 0.500, 0.500), Ga at (0.500, 0.500, 0.000) and Pd at (0.000, 0.500, 0.500).

As for the magnetization: 0.00 μB per formula unit.

---

#two
ScZnGaPd2 | PBE-GGA | relaxed

The structure belongs to space group P4/mmm (No. 123); the cell edges are 4.639, 4.639 and 4.899 Å and the angles 90.00°, 90.00° and 90.00°. Symmetry generates all atoms from Sc at (0.000, 0.000, 0.000), Zn at (0.000, 0.000, 0.500), Ga at (0.500, 0.500, 0.000) and Pd at (0.000, 0.500, 0.500).

As for the magnetization: 0.00 μB per formula unit.

---

Relative energies, eV/atom: #one 0.000; #two 0.247.